# 1
Density functional theory data (PBE) for CuCSe2N after structural relaxation.

Unit cell a=4.866 b=4.866 c=3.505 alpha=90.00 beta=90.00 gamma=90.00
Site moments in Bohr magnetons follow the coordinates.
Fractional coordinates of all 5 atoms:
1 Cu 0.000 0.000 0.000  0.12
2 C 0.500 0.500 0.500  0.12
3 Se 0.000 0.500 0.000  -0.02
4 Se 0.500 0.000 0.000  -0.02
5 N 0.000 0.000 0.500  0.70

electronic total energy	-18.2	eV/cell
magnetic moment	1.2	Bohr magnetons per cell
Fermi-level density of states	3.9	states/eV/cell
uncorrected formation energy	2.0920	eV per atom


# 2
Density functional theory data (PBE) for CuCSe2N after structural relaxation.

Unit cell a=5.819 b=5.819 c=2.470 alpha=90.00 beta=90.00 gamma=90.00
Fractional coordinates of all 5 atoms:
1 Se 0.500 0.000 0.000
2 Se 0.000 0.500 0.000
3 Cu 0.500 0.500 0.500
4 N 0.000 0.000 0.500
5 C 0.000 0.000 0.000

electronic total energy	-24.8	eV/cell
magnetic moment	0.0	Bohr magnetons per cell
Fermi-level density of states	2.2	states/eV/cell
uncorrected formation energy	0.7584	eV per atom


# 3
Density functional theory data (PBE) for CuCSeN2 after structural relaxation.

Unit cell a=3.453 b=3.453 c=7.964 alpha=90.00 beta=90.00 gamma=90.00
Site moments in Bohr magnetons follow the coordinates.
Fractional coordinates of all 5 atoms:
1 N 0.000 0.500 0.000  0.44
2 N 0.500 0.000 0.000  0.44
3 C 0.500 0.500 0.500  0.28
4 Cu 0.000 0.000 0.000  0.21
5 Se 0.000 0.000 0.500  -0.10

electronic total energy	-21.1	eV/cell
magnetic moment	1.8	Bohr magnetons per cell
Fermi-level density of states	2.5	states/eV/cell
uncorrected formation energy	2.4703	eV per atom


# 4
Density functional theory data (PBE) for CuTeCN2 after structural relaxation.

Unit cell a=3.572 b=3.572 c=4.777 alpha=90.00 beta=90.00 gamma=90.00
Site moments in Bohr magnetons follow the coordinates.
Fractional coordinates of all 5 atoms:
1 C 0.000 0.000 0.000  -0.01
2 N 0.000 0.500 0.000  0.45
3 N 0.500 0.000 0.000  0.45
4 Cu 0.500 0.500 0.500  0.03
5 Te 0.000 0.000 0.500  0.07

electronic total energy	-21.7	eV/cell
magnetic moment	1.3	Bohr magnetons per cell
Fermi-level density of states	2.4	states/eV/cell
uncorrected formation energy	2.2916	eV per atom


# 5
Density functional theory data (PBE) for CuTeCN2 after structural relaxation.

Unit cell a=3.500 b=3.500 c=7.970 alpha=90.00 beta=90.00 gamma=90.00
Site moments in Bohr magnetons follow the coordinates.
Fractional coordinates of all 5 atoms:
1 C 0.500 0.500 0.500  0.25
2 Cu 0.000 0.000 0.000  0.21
3 N 0.000 0.500 0.000  0.47
4 N 0.500 0.000 0.000  0.47
5 Te 0.000 0.000 0.500  -0.03

electronic total energy	-21.7	eV/cell
magnetic moment	2.0	Bohr magnetons per cell
Fermi-level density of states	1.7	states/eV/cell
uncorrected formation energy	2.2905	eV per atom


# 6
Density functional theory data (PBE) for CuW2CN after structural relaxation.

Unit cell a=4.180 b=4.180 c=3.537 alpha=90.00 beta=90.00 gamma=90.00
Fractional coordinates of all 5 atoms:
1 C 0.000 0.000 0.000
2 N 0.500 0.500 0.500
3 W 0.500 0.000 0.000
4 W 0.000 0.500 0.000
5 Cu 0.000 0.000 0.500

electronic total energy	-41.1	eV/cell
magnetic moment	0.0	Bohr magnetons per cell
Fermi-level density of states	3.8	states/eV/cell
uncorrected formation energy	1.2926	eV per atom


Repeat the sixth record exactly.
Density functional theory data (PBE) for CuW2CN after structural relaxation.

Unit cell a=4.180 b=4.180 c=3.537 alpha=90.00 beta=90.00 gamma=90.00
Fractional coordinates of all 5 atoms:
1 C 0.000 0.000 0.000
2 N 0.500 0.500 0.500
3 W 0.500 0.000 0.000
4 W 0.000 0.500 0.000
5 Cu 0.000 0.000 0.500

electronic total energy	-41.1	eV/cell
magnetic moment	0.0	Bohr magnetons per cell
Fermi-level density of states	3.8	states/eV/cell
uncorrected formation energy	1.2926	eV per atom


Copy entry 4 word for word.
Density functional theory data (PBE) for CuTeCN2 after structural relaxation.

Unit cell a=3.572 b=3.572 c=4.777 alpha=90.00 beta=90.00 gamma=90.00
Site moments in Bohr magnetons follow the coordinates.
Fractional coordinates of all 5 atoms:
1 C 0.000 0.000 0.000  -0.01
2 N 0.000 0.500 0.000  0.45
3 N 0.500 0.000 0.000  0.45
4 Cu 0.500 0.500 0.500  0.03
5 Te 0.000 0.000 0.500  0.07

electronic total energy	-21.7	eV/cell
magnetic moment	1.3	Bohr magnetons per cell
Fermi-level density of states	2.4	states/eV/cell
uncorrected formation energy	2.2916	eV per atom


Copy entry 1 word for word.
Density functional theory data (PBE) for CuCSe2N after structural relaxation.

Unit cell a=4.866 b=4.866 c=3.505 alpha=90.00 beta=90.00 gamma=90.00
Site moments in Bohr magnetons follow the coordinates.
Fractional coordinates of all 5 atoms:
1 Cu 0.000 0.000 0.000  0.12
2 C 0.500 0.500 0.500  0.12
3 Se 0.000 0.500 0.000  -0.02
4 Se 0.500 0.000 0.000  -0.02
5 N 0.000 0.000 0.500  0.70

electronic total energy	-18.2	eV/cell
magnetic moment	1.2	Bohr magnetons per cell
Fermi-level density of states	3.9	states/eV/cell
uncorrected formation energy	2.0920	eV per atom


Please write out number 6 again, unchanged.
Density functional theory data (PBE) for CuW2CN after structural relaxation.

Unit cell a=4.180 b=4.180 c=3.537 alpha=90.00 beta=90.00 gamma=90.00
Fractional coordinates of all 5 atoms:
1 C 0.000 0.000 0.000
2 N 0.500 0.500 0.500
3 W 0.500 0.000 0.000
4 W 0.000 0.500 0.000
5 Cu 0.000 0.000 0.500

electronic total energy	-41.1	eV/cell
magnetic moment	0.0	Bohr magnetons per cell
Fermi-level density of states	3.8	states/eV/cell
uncorrected formation energy	1.2926	eV per atom